Arrangement A

First-principles (GGA-PBE) data for an optimized crystal structure of YHo5Sc3, as listed in the Alexandria database.

Computed properties:
Space-group type: C2/m

a b c (Å): 9.145 9.145 11.202
angles (deg): 53.09 53.09 74.57
Positions (direct):
Y1 0.150 0.150 0.596
Y2 0.850 0.850 0.404
Ho1 0.856 0.351 0.258
Ho2 0.257 0.743 0.000
Ho3 0.814 0.814 0.969
Ho4 0.489 0.489 0.233
Ho5 0.511 0.511 0.767
Ho6 0.186 0.186 0.031
Ho7 0.351 0.856 0.258
Ho8 0.743 0.257 0.000
Ho9 0.144 0.649 0.742
Ho10 0.649 0.144 0.742
Sc1 0.693 0.693 0.820
Sc2 0.655 0.655 0.366
Sc3 0.000 0.000 0.000
Sc4 0.000 0.000 0.500
Sc5 0.307 0.307 0.180
Sc6 0.345 0.345 0.634

Arrangement B

First-principles (GGA-PBE) data for an optimized crystal structure of YHo5Sc3, as listed in the Alexandria database.

Computed properties:
Space-group type: C2/c

a b c (Å): 9.310 10.249 6.766
angles (deg): 109.01 90.00 117.01
Positions (direct):
Y1 0.667 0.000 0.750
Y2 0.333 0.000 0.250
Ho1 0.303 0.000 0.750
Ho2 0.655 0.673 0.834
Ho3 0.983 0.328 0.164
Ho4 0.345 0.327 0.166
Ho5 0.655 0.672 0.336
Ho6 0.697 0.000 0.250
Ho7 0.018 0.673 0.334
Ho8 0.982 0.327 0.666
Ho9 0.345 0.328 0.664
Ho10 0.017 0.672 0.836
Sc1 0.000 0.000 0.000
Sc2 0.687 0.368 0.436
Sc3 0.000 0.000 0.500
Sc4 0.313 0.632 0.564
Sc5 0.682 0.368 0.936
Sc6 0.318 0.632 0.064

It is arrangement A that is the least stable of them.

Arrangement A

First-principles (GGA-PBE) data for an optimized crystal structure of Y8Ho6Sc, as listed in the Alexandria database.

Computed properties:
Space-group type: R-3

a b c (Å): 9.694 9.694 8.080
angles (deg): 53.14 53.14 60.00
Positions (direct):
Y1 0.351 0.232 0.486
Y2 0.768 0.068 0.514
Y3 0.068 0.649 0.514
Y4 0.591 0.591 0.228
Y5 0.409 0.409 0.772
Y6 0.932 0.351 0.486
Y7 0.232 0.932 0.486
Y8 0.649 0.768 0.514
Ho1 0.380 0.938 0.968
Ho2 0.062 0.286 0.032
Ho3 0.286 0.620 0.032
Ho4 0.714 0.380 0.968
Ho5 0.938 0.714 0.968
Ho6 0.620 0.062 0.032
Sc1 0.000 0.000 0.000

Arrangement B

First-principles (GGA-PBE) data for an optimized crystal structure of Y8Ho6Sc, as listed in the Alexandria database.

Computed properties:
Space-group type: P-3

a b c (Å): 5.718 9.820 9.820
angles (deg): 120.00 90.00 90.00
Positions (direct):
Y1 0.767 0.050 0.270
Y2 0.767 0.730 0.780
Y3 0.767 0.220 0.950
Y4 0.233 0.950 0.730
Y5 0.233 0.270 0.220
Y6 0.233 0.780 0.050
Y7 0.765 0.333 0.667
Y8 0.235 0.667 0.333
Ho1 0.741 0.621 0.092
Ho2 0.741 0.908 0.529
Ho3 0.741 0.471 0.379
Ho4 0.259 0.379 0.908
Ho5 0.259 0.092 0.471
Ho6 0.259 0.529 0.621
Sc1 0.500 0.000 0.000

It is arrangement A that is the least stable of them.

Arrangement A

First-principles (GGA-PBE) data for an optimized crystal structure of Y4Ho3Sc2, as listed in the Alexandria database.

Computed properties:
Space-group type: C2/c

a b c (Å): 5.865 9.961 9.961
angles (deg): 70.54 83.78 83.78
Positions (direct):
Y1 0.532 0.055 0.820
Y2 0.968 0.180 0.945
Y3 0.468 0.945 0.180
Y4 0.032 0.820 0.055
Y5 0.620 0.820 0.612
Y6 0.880 0.388 0.180
Y7 0.380 0.180 0.388
Y8 0.120 0.612 0.820
Ho1 0.081 0.974 0.680
Ho2 0.419 0.320 0.026
Ho3 0.919 0.026 0.320
Ho4 0.581 0.680 0.974
Ho5 0.250 0.389 0.611
Ho6 0.750 0.611 0.389
Sc1 0.195 0.737 0.469
Sc2 0.305 0.531 0.263
Sc3 0.805 0.263 0.531
Sc4 0.695 0.469 0.737

Arrangement B

First-principles (GGA-PBE) data for an optimized crystal structure of Y4Ho3Sc2, as listed in the Alexandria database.

Computed properties:
Space-group type: C2/c

a b c (Å): 6.862 9.590 9.590
angles (deg): 59.22 89.96 89.96
Positions (direct):
Y1 0.500 0.850 0.185
Y2 0.000 0.815 0.150
Y3 0.500 0.150 0.815
Y4 0.000 0.185 0.850
Y5 0.000 0.163 0.519
Y6 0.500 0.481 0.837
Y7 0.000 0.837 0.481
Y8 0.500 0.519 0.163
Ho1 0.750 0.174 0.174
Ho2 0.750 0.826 0.826
Ho3 0.250 0.826 0.826
Ho4 0.250 0.174 0.174
Ho5 0.250 0.500 0.500
Ho6 0.750 0.500 0.500
Sc1 0.500 0.169 0.480
Sc2 0.000 0.520 0.831
Sc3 0.500 0.831 0.520
Sc4 0.000 0.480 0.169

It is arrangement A that is the least stable of them.

Arrangement A

First-principles (GGA-PBE) data for an optimized crystal structure of YHo7Sc3, as listed in the Alexandria database.

Computed properties:
Space-group type: Immm

a b c (Å): 5.668 8.163 8.163
angles (deg): 85.13 110.35 110.35
Each line ends with the local moment (μB).
Positions (direct):
Y1 0.500 0.500 0.500  0.14
Ho1 0.195 0.195 0.195  0.01
Ho2 0.308 0.011 0.604  0.00
Ho3 0.692 0.396 0.989  0.00
Ho4 0.308 0.604 0.011  0.00
Ho5 0.000 0.500 0.500  0.18
Ho6 0.692 0.989 0.396  0.00
Ho7 0.805 0.805 0.805  0.01
Sc1 0.000 0.787 0.213  0.01
Sc2 0.500 0.000 0.000  0.00
Sc3 0.000 0.213 0.787  0.01

Arrangement B

First-principles (GGA-PBE) data for an optimized crystal structure of YHo7Sc3, as listed in the Alexandria database.

Computed properties:
Space-group type: P2/m

a b c (Å): 8.560 9.539 5.375
angles (deg): 89.99 128.90 101.49
Positions (direct):
Y1 0.500 0.500 0.500
Ho1 0.953 0.830 0.953
Ho2 0.820 0.631 0.320
Ho3 0.656 0.280 0.156
Ho4 0.344 0.720 0.844
Ho5 0.500 0.000 0.500
Ho6 0.180 0.369 0.680
Ho7 0.047 0.170 0.047
Sc1 0.226 0.019 0.726
Sc2 0.000 0.500 0.000
Sc3 0.774 0.981 0.274

It is arrangement A that is the least stable of them.

Arrangement A

First-principles (GGA-PBE) data for an optimized crystal structure of Y3Ho2Sc3, as listed in the Alexandria database.

Computed properties:
Space-group type: Immm

a b c (Å): 4.807 4.916 10.378
angles (deg): 103.70 103.39 90.00
Positions (direct):
Y1 0.623 0.623 0.245
Y2 0.377 0.377 0.755
Y3 0.500 0.000 0.000
Ho1 0.749 0.249 0.497
Ho2 0.251 0.751 0.503
Sc1 0.124 0.124 0.249
Sc2 0.000 0.500 0.000
Sc3 0.876 0.876 0.751

Arrangement B

First-principles (GGA-PBE) data for an optimized crystal structure of Y3Ho2Sc3, as listed in the Alexandria database.

Computed properties:
Space-group type: R32

a b c (Å): 6.245 6.245 6.245
angles (deg): 94.67 94.67 85.33
Each line ends with the local moment (μB).
Positions (direct):
Y1 0.258 0.742 0.500  0.35
Y2 0.500 0.258 0.258  0.35
Y3 0.742 0.500 0.742  0.35
Ho1 0.251 0.251 0.749  0.52
Ho2 0.749 0.749 0.251  0.52
Sc1 0.225 0.775 0.000  0.47
Sc2 0.000 0.225 0.225  0.47
Sc3 0.775 0.000 0.775  0.47

It is arrangement B that is the least stable of them.

Arrangement A

First-principles (GGA-PBE) data for an optimized crystal structure of Y3Ho6Sc, as listed in the Alexandria database.

Computed properties:
Space-group type: Cmc2_1

a b c (Å): 6.100 10.883 10.883
angles (deg): 119.84 90.00 90.00
Positions (direct):
Y1 0.457 0.944 0.724
Y2 0.957 0.724 0.944
Y3 0.067 0.389 0.611
Y4 0.567 0.611 0.389
Y5 0.957 0.056 0.276
Y6 0.457 0.276 0.056
Ho1 0.035 0.711 0.618
Ho2 0.535 0.618 0.711
Ho3 0.363 0.537 0.958
Ho4 0.863 0.958 0.537
Ho5 0.434 0.950 0.050
Ho6 0.637 0.280 0.720
Ho7 0.137 0.720 0.280
Ho8 0.934 0.050 0.950
Ho9 0.363 0.042 0.463
Ho10 0.863 0.463 0.042
Ho11 0.035 0.382 0.289
Ho12 0.535 0.289 0.382
Sc1 0.138 0.208 0.792
Sc2 0.638 0.792 0.208

Arrangement B

First-principles (GGA-PBE) data for an optimized crystal structure of Y3Ho6Sc, as listed in the Alexandria database.

Computed properties:
Space-group type: R3

a b c (Å): 9.729 9.729 6.817
angles (deg): 44.48 44.48 60.00
Each line ends with the local moment (μB).
Positions (direct):
Y1 0.361 0.361 0.916  0.13
Y2 0.610 0.610 0.170  0.15
Y3 0.101 0.101 0.696  0.14
Ho1 0.933 0.599 0.217  0.06
Ho2 0.251 0.933 0.217  0.06
Ho3 0.599 0.251 0.217  0.06
Ho4 0.086 0.441 0.713  0.06
Ho5 0.761 0.086 0.713  0.06
Ho6 0.441 0.761 0.713  0.06
Sc1 0.858 0.858 0.427  0.22

It is arrangement B that is the least stable of them.